P | Entry from Alexandria: an optimized crystal structure of Sn2MoH (PBE).

Cell lengths 6.466, 6.466, 5.583 Å; angles 54.62, 54.62, 90.00 degrees
Atoms (fractional coordinates):
Mo 0.000 0.000 0.000
Mo 0.750 0.250 0.500
Sn 0.375 0.456 0.750
Sn 0.206 0.625 0.250
Sn 0.544 0.125 0.250
Sn 0.875 0.794 0.750
H 0.250 0.750 0.500
H 0.500 0.500 0.000

Calculated values
Fermi-level density of states	2.2	states/eV/cell
size of the total moment	0.247	μB per atom
symmetry	No. 122

---

Q | Entry from Alexandria: an optimized crystal structure of Sn2MoH (PBE).

Cell lengths 4.702, 4.702, 4.702 Å; angles 60.00, 60.00, 60.00 degrees
Atoms (fractional coordinates):
H 0.000 0.000 0.000
Sn 0.750 0.750 0.750
Sn 0.250 0.250 0.250
Mo 0.500 0.500 0.500

Calculated values
Fermi-level density of states	3.5	states/eV/cell
size of the total moment	0.526	μB per atom
symmetry	No. 225

---

It is P that is most stable; the runner-up trails by 345 meV per atom.

---

P | Entry from Alexandria: an optimized crystal structure of TcSnMo2H (PBE).

Cell lengths 5.227, 5.070, 5.227 Å; angles 90.00, 90.00, 90.00 degrees
Atoms (fractional coordinates):
H 0.500 0.500 0.500
Tc 0.000 0.500 0.000
Mo 0.000 0.000 0.500
Mo 0.500 0.000 0.000
Sn 0.000 0.000 0.000

Calculated values
Fermi-level density of states	5.4	states/eV/cell
size of the total moment	0.742	μB per atom
symmetry	No. 123

---

Q | Entry from Alexandria: an optimized crystal structure of TcSnMo2H (PBE).

Cell lengths 4.036, 4.036, 4.204 Å; angles 90.00, 90.00, 90.00 degrees
Atoms (fractional coordinates):
Mo 0.500 0.000 0.000
Mo 0.000 0.500 0.000
H 0.000 0.000 0.000
Sn 0.500 0.500 0.500
Tc 0.000 0.000 0.500

Calculated values
Fermi-level density of states	5.1	states/eV/cell
size of the total moment	0.000	μB per atom
symmetry	No. 123

---

It is Q that is most stable; the runner-up trails by 2496 meV per atom.

---

P | Entry from Alexandria: an optimized crystal structure of SrMoH3 (PBE).

Cell lengths 4.437, 4.437, 4.437 Å; angles 90.00, 90.00, 90.00 degrees
Atoms (fractional coordinates):
H 0.500 0.000 0.000
H 0.000 0.500 0.000
H 0.000 0.000 0.500
Sr 0.000 0.000 0.000
Mo 0.500 0.500 0.500

Calculated values
Fermi-level density of states	0.6	states/eV/cell
size of the total moment	0.997	μB per atom
symmetry	No. 221

---

Q | Entry from Alexandria: an optimized crystal structure of SrMoH3 (PBE).

Cell lengths 3.846, 3.846, 3.846 Å; angles 90.00, 90.00, 90.00 degrees
Atoms (fractional coordinates):
Sr 0.500 0.500 0.500
Mo 0.000 0.000 0.000
H 0.500 0.000 0.000
H 0.000 0.000 0.500
H 0.000 0.500 0.000

Calculated values
Fermi-level density of states	2.9	states/eV/cell
size of the total moment	0.160	μB per atom
symmetry	No. 221

---

It is Q that is most stable; the runner-up trails by 1071 meV per atom.

---

P | Entry from Alexandria: an optimized crystal structure of SrMo2H (PBE).

Cell lengths 4.566, 4.566, 4.566 Å; angles 60.00, 60.00, 60.00 degrees
Atoms (fractional coordinates):
Sr 0.500 0.500 0.500
H 0.000 0.000 0.000
Mo 0.750 0.750 0.750
Mo 0.250 0.250 0.250

Calculated values
Fermi-level density of states	4.8	states/eV/cell
size of the total moment	0.000	μB per atom
symmetry	No. 225

---

Q | Entry from Alexandria: an optimized crystal structure of SrMo2H (PBE).

Cell lengths 5.882, 5.882, 5.874 Å; angles 59.96, 59.96, 90.00 degrees
Atoms (fractional coordinates):
H 0.250 0.750 0.500
H 0.500 0.500 0.000
Mo 0.375 0.125 0.250
Mo 0.875 0.625 0.750
Mo 0.375 0.625 0.750
Mo 0.375 0.625 0.250
Sr 0.750 0.250 0.500
Sr 0.000 0.000 0.000

Calculated values
Fermi-level density of states	8.9	states/eV/cell
size of the total moment	0.000	μB per atom
symmetry	No. 141

---

It is Q that is most stable; the runner-up trails by 1594 meV per atom.

---

P | Entry from Alexandria: an optimized crystal structure of Ta3MoH (PBE).

Cell lengths 4.200, 4.200, 4.200 Å; angles 90.00, 90.00, 90.00 degrees
Atoms (fractional coordinates):
Ta 0.000 0.000 0.500
Ta 0.000 0.500 0.000
Ta 0.500 0.000 0.000
Mo 0.500 0.500 0.500
H 0.000 0.000 0.000

Calculated values
Fermi-level density of states	4.1	states/eV/cell
size of the total moment	0.000	μB per atom
symmetry	No. 221

---

Q | Entry from Alexandria: an optimized crystal structure of Ta3MoH (PBE).

Cell lengths 4.851, 4.851, 4.851 Å; angles 90.00, 90.00, 90.00 degrees
Atoms (fractional coordinates):
Ta 0.500 0.000 0.000
Ta 0.000 0.500 0.000
Ta 0.000 0.000 0.500
Mo 0.000 0.000 0.000
H 0.500 0.500 0.500

Calculated values
Fermi-level density of states	6.7	states/eV/cell
size of the total moment	0.000	μB per atom
symmetry	No. 221

---

It is P that is most stable; the runner-up trails by 1947 meV per atom.

---

P | Entry from Alexandria: an optimized crystal structure of TaMoH3 (PBE).

Cell lengths 4.314, 6.171, 4.321 Å; angles 90.00, 90.00, 133.92 degrees
Atoms (fractional coordinates):
H 0.000 0.000 0.256
H 0.500 0.000 0.751
H 0.055 0.328 0.500
H 0.945 0.672 0.500
H 0.000 0.000 0.744
H 0.500 0.000 0.249
Mo 0.482 0.733 0.500
Mo 0.518 0.267 0.500
Ta 0.975 0.726 0.000
Ta 0.025 0.274 0.000

Calculated values
Fermi-level density of states	3.7	states/eV/cell
size of the total moment	0.000	μB per atom
symmetry	No. 10

---

Q | Entry from Alexandria: an optimized crystal structure of TaMoH3 (PBE).

Cell lengths 3.531, 3.531, 3.531 Å; angles 90.00, 90.00, 90.00 degrees
Atoms (fractional coordinates):
Mo 0.500 0.500 0.500
H 0.000 0.000 0.500
H 0.500 0.000 0.000
H 0.000 0.500 0.000
Ta 0.000 0.000 0.000

Calculated values
Fermi-level density of states	2.6	states/eV/cell
size of the total moment	0.000	μB per atom
symmetry	No. 221

---

R | Entry from Alexandria: an optimized crystal structure of TaMoH3 (PBE).

Cell lengths 4.672, 6.460, 6.460 Å; angles 111.96, 87.15, 87.15 degrees
Atoms (fractional coordinates):
H 0.391 0.350 0.933
H 0.900 0.234 0.106
H 0.888 0.451 0.763
H 0.109 0.067 0.650
H 0.612 0.237 0.549
H 0.112 0.549 0.237
H 0.609 0.650 0.067
H 0.600 0.894 0.766
H 0.891 0.933 0.350
H 0.100 0.766 0.894
H 0.388 0.763 0.451
H 0.400 0.106 0.234
Mo 0.750 0.196 0.804
Mo 0.750 0.929 0.071
Mo 0.250 0.071 0.929
Mo 0.250 0.804 0.196
Ta 0.454 0.547 0.735
Ta 0.954 0.735 0.547
Ta 0.546 0.453 0.265
Ta 0.046 0.265 0.453

Calculated values
Fermi-level density of states	8.8	states/eV/cell
size of the total moment	0.000	μB per atom
symmetry	No. 15

---

It is P that is most stable; the runner-up trails by 217 meV per atom.

---

P | Entry from Alexandria: an optimized crystal structure of Ta2MoH2 (PBE).

Cell lengths 6.880, 6.880, 2.724 Å; angles 90.00, 90.00, 90.00 degrees
Atoms (fractional coordinates):
Ta 0.139 0.361 0.000
Ta 0.639 0.139 0.000
Ta 0.361 0.861 0.000
Ta 0.861 0.639 0.000
Mo 0.500 0.500 0.000
Mo 0.000 0.000 0.000
H 0.901 0.401 0.500
H 0.099 0.599 0.500
H 0.599 0.901 0.500
H 0.401 0.099 0.500

Calculated values
Fermi-level density of states	5.4	states/eV/cell
size of the total moment	0.000	μB per atom
symmetry	No. 127

---

Q | Entry from Alexandria: an optimized crystal structure of Ta2MoH2 (PBE).

Cell lengths 5.599, 5.615, 5.838 Å; angles 58.38, 58.15, 50.10 degrees
Atoms (fractional coordinates):
Mo 0.162 0.185 0.743
Mo 0.838 0.815 0.257
H 0.613 0.088 0.992
H 0.851 0.065 0.365
H 0.387 0.912 0.008
H 0.149 0.935 0.635
Ta 0.839 0.811 0.755
Ta 0.508 0.512 0.738
Ta 0.492 0.488 0.262
Ta 0.161 0.189 0.245

Calculated values
Fermi-level density of states	3.2	states/eV/cell
size of the total moment	0.000	μB per atom
symmetry	No. 2

---

It is Q that is most stable; the runner-up trails by 819 meV per atom.

---

P | Entry from Alexandria: an optimized crystal structure of TaMoH2 (PBE).

Cell lengths 5.078, 5.617, 5.700 Å; angles 90.00, 90.00, 90.00 degrees
Atoms (fractional coordinates):
H 0.869 0.932 0.366
H 0.382 0.106 0.128
H 0.882 0.894 0.872
H 0.882 0.394 0.628
H 0.369 0.068 0.634
H 0.369 0.568 0.866
H 0.869 0.432 0.134
H 0.382 0.606 0.372
Ta 0.511 0.880 0.897
Ta 0.011 0.120 0.103
Ta 0.011 0.620 0.397
Ta 0.511 0.380 0.603
Mo 0.511 0.413 0.128
Mo 0.011 0.087 0.628
Mo 0.511 0.913 0.372
Mo 0.011 0.587 0.872

Calculated values
Fermi-level density of states	6.5	states/eV/cell
size of the total moment	0.000	μB per atom
symmetry	No. 33

---

Q | Entry from Alexandria: an optimized crystal structure of TaMoH2 (PBE).

Cell lengths 2.927, 2.927, 5.524 Å; angles 74.63, 74.63, 60.00 degrees
Atoms (fractional coordinates):
Ta 0.671 0.671 0.988
H 0.246 0.246 0.261
H 0.086 0.086 0.741
Mo 0.497 0.497 0.510

Calculated values
Fermi-level density of states	3.1	states/eV/cell
size of the total moment	0.000	μB per atom
symmetry	No. 160

---

R | Entry from Alexandria: an optimized crystal structure of TaMoH2 (PBE).

Cell lengths 4.246, 4.246, 5.402 Å; angles 66.86, 66.86, 90.00 degrees
Atoms (fractional coordinates):
H 0.875 0.864 0.750
H 0.614 0.125 0.250
H 0.136 0.625 0.250
H 0.375 0.386 0.750
Ta 0.750 0.250 0.500
Ta 0.000 0.000 0.000
Mo 0.500 0.500 0.000
Mo 0.250 0.750 0.500

Calculated values
Fermi-level density of states	3.3	states/eV/cell
size of the total moment	0.000	μB per atom
symmetry	No. 122

---

It is R that is most stable; the runner-up trails by 39 meV per atom.

---

P | Entry from Alexandria: an optimized crystal structure of TaMo3H (PBE).

Cell lengths 4.094, 4.094, 4.094 Å; angles 90.00, 90.00, 90.00 degrees
Atoms (fractional coordinates):
Ta 0.500 0.500 0.500
H 0.000 0.000 0.000
Mo 0.000 0.500 0.000
Mo 0.000 0.000 0.500
Mo 0.500 0.000 0.000

Calculated values
Fermi-level density of states	4.3	states/eV/cell
size of the total moment	0.000	μB per atom
symmetry	No. 221

---

Q | Entry from Alexandria: an optimized crystal structure of TaMo3H (PBE).

Cell lengths 4.784, 4.784, 4.784 Å; angles 90.00, 90.00, 90.00 degrees
Atoms (fractional coordinates):
Ta 0.000 0.000 0.000
H 0.500 0.500 0.500
Mo 0.500 0.000 0.000
Mo 0.000 0.500 0.000
Mo 0.000 0.000 0.500

Calculated values
Fermi-level density of states	5.4	states/eV/cell
size of the total moment	0.000	μB per atom
symmetry	No. 221

---

It is P that is most stable; the runner-up trails by 2373 meV per atom.

---

P | Entry from Alexandria: an optimized crystal structure of Ta2MoHW (PBE).

Cell lengths 4.557, 4.557, 3.403 Å; angles 90.00, 90.00, 90.00 degrees
Atoms (fractional coordinates):
Mo 0.000 0.000 0.500
Ta 0.000 0.500 0.000
Ta 0.500 0.000 0.000
H 0.000 0.000 0.000
W 0.500 0.500 0.500

Calculated values
Fermi-level density of states	1.8	states/eV/cell
size of the total moment	0.000	μB per atom
symmetry	No. 123

---

Q | Entry from Alexandria: an optimized crystal structure of Ta2MoHW (PBE).

Cell lengths 4.552, 4.552, 3.424 Å; angles 90.00, 90.00, 90.00 degrees
Atoms (fractional coordinates):
Ta 0.000 0.500 0.000
Ta 0.500 0.000 0.000
W 0.000 0.000 0.500
H 0.000 0.000 0.000
Mo 0.500 0.500 0.500

Calculated values
Fermi-level density of states	1.5	states/eV/cell
size of the total moment	0.000	μB per atom
symmetry	No. 123

---

It is P that is most stable; the runner-up trails by 31 meV per atom.

---

P | Entry from Alexandria: an optimized crystal structure of Tc2MoH2 (PBE).

Cell lengths 2.925, 2.925, 6.323 Å; angles 76.63, 76.63, 90.00 degrees
Atoms (fractional coordinates):
Tc 0.648 0.648 0.704
Tc 0.352 0.352 0.296
H 0.250 0.750 0.500
H 0.750 0.250 0.500
Mo 0.000 0.000 0.000

Calculated values
Fermi-level density of states	3.0	states/eV/cell
size of the total moment	0.000	μB per atom
symmetry	No. 139

---

Q | Entry from Alexandria: an optimized crystal structure of Tc2MoH2 (PBE).

Cell lengths 2.862, 4.835, 7.542 Å; angles 90.00, 100.94, 90.00 degrees
Atoms (fractional coordinates):
Tc 0.000 0.274 0.000
Tc 0.000 0.774 0.000
Tc 0.817 0.025 0.635
Tc 0.183 0.525 0.365
H 0.239 0.157 0.479
H 0.609 0.402 0.218
H 0.761 0.657 0.521
H 0.391 0.902 0.782
Mo 0.640 0.007 0.279
Mo 0.360 0.507 0.721

Calculated values
Fermi-level density of states	8.0	states/eV/cell
size of the total moment	0.000	μB per atom
symmetry	No. 36

---

R | Entry from Alexandria: an optimized crystal structure of Tc2MoH2 (PBE).

Cell lengths 5.962, 5.962, 2.932 Å; angles 90.00, 90.00, 90.00 degrees
Atoms (fractional coordinates):
H 0.793 0.707 0.000
H 0.293 0.793 0.000
H 0.207 0.293 0.000
H 0.707 0.207 0.000
Tc 0.141 0.641 0.500
Tc 0.859 0.359 0.500
Tc 0.359 0.141 0.500
Tc 0.641 0.859 0.500
Mo 0.000 0.000 0.000
Mo 0.500 0.500 0.000

Calculated values
Fermi-level density of states	7.4	states/eV/cell
size of the total moment	0.000	μB per atom
symmetry	No. 127

---

It is P that is most stable; the runner-up trails by 129 meV per atom.